Compound: Pm2ZnAgO5
Source: Alexandria
Functional: GGA-PBE
Structure: relaxed

Cell lengths 5.751, 6.726, 6.726 Å; angles 90.00, 90.00, 90.00 degrees
Fractional coordinates of all 18 atoms:
Pm 0.500 0.674 0.174
Pm 0.500 0.174 0.326
Pm 0.500 0.826 0.674
Pm 0.500 0.326 0.826
Zn 0.000 0.000 0.500
Zn 0.000 0.500 0.000
Ag 0.000 0.500 0.500
Ag 0.000 0.000 0.000
O 0.500 0.500 0.500
O 0.500 0.000 0.000
O 0.250 0.135 0.635
O 0.250 0.865 0.365
O 0.250 0.365 0.135
O 0.250 0.635 0.865
O 0.750 0.135 0.635
O 0.750 0.635 0.865
O 0.750 0.865 0.365
O 0.750 0.365 0.135

## Properties
volume: 14.5 A^3/atom
total energy: -0.459 Ry per atom